# 1
DFT (PBE) results for InNiOs2 after structural relaxation.

Cell and atoms, written as CIF:
```
data_InNiOs2
_chemical_formula_sum 'In2 Ni2 Os4'
_cell_length_a 3.9971
_cell_length_b 3.9971
_cell_length_c 7.4573
_cell_angle_alpha 90.00
_cell_angle_beta 90.00
_cell_angle_gamma 90.00
_symmetry_space_group_name_H-M 'I -4 m 2'
_symmetry_Int_Tables_number 119
_symmetry_space_group_name_Hall 'I -4 -2'
loop_
_atom_site_label
_atom_site_type_symbol
_atom_site_fract_x
_atom_site_fract_y
_atom_site_fract_z
In1 In 0.0000 0.0000 0.0000
Ni1 Ni 0.0000 0.5000 0.7500
Os1 Os 0.0000 0.0000 0.5000
Os2 Os 0.0000 0.5000 0.2500
```

Calculated values
Energy of formation from the pure elements, eV per atom: 0.396
Volume, Å³ per cell: 119.1

=====

# 2
DFT (PBE) results for InNiOs after structural relaxation.

Cell and atoms, written as CIF:
```
data_InNiOs
_chemical_formula_sum 'In2 Ni2 Os2'
_cell_length_a 2.9263
_cell_length_b 2.9263
_cell_length_c 10.6489
_cell_angle_alpha 90.00
_cell_angle_beta 90.00
_cell_angle_gamma 90.00
_symmetry_space_group_name_H-M 'I 4 m m'
_symmetry_Int_Tables_number 107
_symmetry_space_group_name_Hall 'I 4 -2'
loop_
_atom_site_label
_atom_site_type_symbol
_atom_site_fract_x
_atom_site_fract_y
_atom_site_fract_z
In1 In 0.0000 0.0000 0.0000
Ni1 Ni 0.0000 0.0000 0.3273
Os1 Os 0.0000 0.0000 0.6897
```

Calculated values
Energy relative to the lowest polymorph listed for this composition, eV/f.u.: 0.000
Energy of formation from the pure elements, eV per atom: 0.342
Volume, Å³ per cell: 91.2

=====

# 3
DFT (PBE) results for InNiOs2 after structural relaxation.

Cell and atoms, written as CIF:
```
data_InNiOs2
_chemical_formula_sum 'In2 Ni2 Os4'
_cell_length_a 2.8574
_cell_length_b 4.7920
_cell_length_c 9.0149
_cell_angle_alpha 90.00
_cell_angle_beta 90.00
_cell_angle_gamma 90.00
_symmetry_space_group_name_H-M 'C m m 2'
_symmetry_Int_Tables_number 35
loop_
_symmetry_equiv_pos_as_xyz
'x,y,z'
'-x,-y,z'
'-x,y,z'
'x,-y,z'
'x+1/2,y+1/2,z'
'-x+1/2,-y+1/2,z'
'-x+1/2,y+1/2,z'
'x+1/2,-y+1/2,z'
loop_
_atom_site_label
_atom_site_type_symbol
_atom_site_fract_x
_atom_site_fract_y
_atom_site_fract_z
In1 In 0.0000 0.0000 0.0000
Ni1 Ni 0.0000 0.5000 0.7541
Os1 Os 0.0000 0.0000 0.5200
Os2 Os 0.0000 0.5000 0.2762
```

Calculated values
Energy of formation from the pure elements, eV per atom: 0.618
Volume, Å³ per cell: 123.4

=====

# 4
DFT (PBE) results for InNiOs2 after structural relaxation.

Cell and atoms, written as CIF:
```
data_InNiOs2
_chemical_formula_sum 'In2 Ni2 Os4'
_cell_length_a 5.2755
_cell_length_b 8.0571
_cell_length_c 2.8521
_cell_angle_alpha 90.00
_cell_angle_beta 90.00
_cell_angle_gamma 90.00
_symmetry_space_group_name_H-M 'C m m m'
_symmetry_Int_Tables_number 65
_symmetry_space_group_name_Hall '-C 2 2'
loop_
_atom_site_label
_atom_site_type_symbol
_atom_site_fract_x
_atom_site_fract_y
_atom_site_fract_z
In1 In 0.0000 0.0000 0.0000
Ni1 Ni 0.0000 0.5000 0.0000
Os1 Os 0.2500 0.2500 0.5000
```

Calculated values
Energy of formation from the pure elements, eV per atom: 0.596
Volume, Å³ per cell: 121.2

=====

# 5
DFT (PBE) results for InNiOsPd2 after structural relaxation.

Cell and atoms, written as CIF:
```
data_InNiOsPd2
_chemical_formula_sum 'In1 Ni1 Os1 Pd2'
_cell_length_a 4.8128
_cell_length_b 4.8128
_cell_length_c 5.0930
_cell_angle_alpha 90.00
_cell_angle_beta 90.00
_cell_angle_gamma 90.00
_symmetry_space_group_name_H-M 'P 4/m m m'
_symmetry_Int_Tables_number 123
_symmetry_space_group_name_Hall '-P 4 2'
loop_
_atom_site_label
_atom_site_type_symbol
_atom_site_fract_x
_atom_site_fract_y
_atom_site_fract_z
In1 In 0.0000 0.0000 0.0000
Ni1 Ni 0.5000 0.5000 0.0000
Os1 Os 0.0000 0.0000 0.5000
Pd1 Pd 0.0000 0.5000 0.5000
```

Calculated values
Energy of formation from the pure elements, eV per atom: 1.428
Volume, Å³ per cell: 118.0

=====

# 6
DFT (PBE) results for TaInNiOs after structural relaxation.

Cell and atoms, written as CIF:
```
data_TaInNiOs
_chemical_formula_sum 'Ta4 In4 Ni4 Os4'
_cell_length_a 6.3436
_cell_length_b 6.3436
_cell_length_c 6.3436
_cell_angle_alpha 90.00
_cell_angle_beta 90.00
_cell_angle_gamma 90.00
_symmetry_space_group_name_H-M 'F -4 3 m'
_symmetry_Int_Tables_number 216
_symmetry_space_group_name_Hall 'F -4 2 3'
loop_
_atom_site_label
_atom_site_type_symbol
_atom_site_fract_x
_atom_site_fract_y
_atom_site_fract_z
Ta1 Ta 0.0000 0.0000 0.0000
In1 In 0.0000 0.0000 0.5000
Ni1 Ni 0.2500 0.2500 0.7500
Os1 Os 0.2500 0.2500 0.2500
```

Calculated values
Energy of formation from the pure elements, eV per atom: -0.034
Volume, Å³ per cell: 255.3